[1]
# Ni4Os5, optimized geometry, DFT GGA-PBE
data_Ni4Os5
_cell_length_a 7.895
_cell_length_b 7.895
_cell_length_c 3.768
_cell_angle_alpha 90.00
_cell_angle_beta 90.00
_cell_angle_gamma 90.00
_space_group_name_H-M_alt 'I 4/m m m'
_space_group_IT_number 139
_space_group_name_Hall '-I 4 2'
loop_
_atom_site_label
_atom_site_fract_x
_atom_site_fract_y
_atom_site_fract_z
Ni1 0.000 0.328 0.000
Os1 0.000 0.000 0.000
Os2 0.168 0.168 0.500
# Energy ... -8.655 eV/atom
# Energy above the lowest structure with this stoichiometry ... 0.0 meV per atom
# Crystal system ... tetragonal
# Energy relative to the elements ... 0.15 eV per atom

[2]
# MgHg2Rh, optimized geometry, DFT GGA-PBE
data_MgHg2Rh
_cell_length_a 3.1238
_cell_length_b 3.1238
_cell_length_c 28.5560
_cell_angle_alpha 90.00
_cell_angle_beta 90.00
_cell_angle_gamma 120.00
_space_group_name_H-M_alt 'R 3 m'
_space_group_IT_number 160
_space_group_name_Hall 'R 3 -2"'
loop_
_atom_site_label
_atom_site_fract_x
_atom_site_fract_y
_atom_site_fract_z
Mg1 0.0000 0.0000 0.0000
Hg1 0.0000 0.0000 0.5217
Hg2 0.0000 0.0000 0.7551
Rh1 0.0000 0.0000 0.2672
# Energy ... -2.393 eV/atom
# Crystal system ... trigonal
# Energy relative to the elements ... -0.01 eV per atom

[3]
# Ag4Pd3Pb, optimized geometry, DFT GGA-PBE
data_Ag4Pd3Pb
_cell_length_a 19.273
_cell_length_b 3.080
_cell_length_c 4.862
_cell_angle_alpha 90.00
_cell_angle_beta 91.18
_cell_angle_gamma 90.00
_space_group_name_H-M_alt 'C 1 2/m 1'
_space_group_IT_number 12
_space_group_name_Hall '-C 2y'
loop_
_atom_site_label
_atom_site_fract_x
_atom_site_fract_y
_atom_site_fract_z
Ag1 0.128 0.000 0.380
Ag2 0.135 0.500 0.872
Pd1 0.000 0.500 0.500
Pd2 0.248 0.500 0.255
Pb1 0.000 0.000 0.000
# Energy ... -3.849 eV/atom
# Crystal system ... monoclinic
# Energy relative to the elements ... -0.01 eV per atom

[4]
# Na2LiCd2Pb5, optimized geometry, DFT GGA-PBE
data_Na2LiCd2Pb5
_cell_length_a 11.292
_cell_length_b 11.292
_cell_length_c 4.560
_cell_angle_alpha 90.00
_cell_angle_beta 90.00
_cell_angle_gamma 90.00
_space_group_name_H-M_alt 'P 4/m b m'
_space_group_IT_number 127
_space_group_name_Hall '-P 4 2ab'
loop_
_atom_site_label
_atom_site_fract_x
_atom_site_fract_y
_atom_site_fract_z
Na1 0.168 0.332 0.000
Li1 0.000 0.000 0.000
Cd1 0.136 0.636 0.000
Pb1 0.000 0.500 0.500
Pb2 0.058 0.803 0.500
# Energy ... -2.574 eV/atom
# Crystal system ... tetragonal
# Energy relative to the elements ... -0.08 eV per atom

Which of these has the lowest energy?
Ni4Os5